# GGA+U ScCrF2, relaxed
data_ScCrF2
_chemical_formula_sum 'Sc1 Cr1 F2'
_cell_length_a 8.5124
_cell_length_b 8.5124
_cell_length_c 8.5124
_cell_angle_alpha 21.89
_cell_angle_beta 21.89
_cell_angle_gamma 21.89
_space_group_name_H-M_alt 'P 1'
_space_group_IT_number 1
_space_group_name_Hall 'P 1'
loop_
_atom_site_label
_atom_site_type_symbol
_atom_site_fract_x
_atom_site_fract_y
_atom_site_fract_z
Sc1 Sc 0.5000 0.5000 0.5000
Cr1 Cr 0.0000 0.0000 0.0000
F1 F 0.1222 0.1222 0.1222
F2 F 0.8778 0.8778 0.8778
# Polymorph energy (0 for the lowest one) (eV/atom): 0.000
# Raw total energy (eV/atom): -6.33
# Total moment (μB per formula unit): 4.25